1.
VASP calculation (GGA-PBE) on CrCd2Ge2 after structural relaxation.

POSCAR file:
```
CrCd2Ge2
1.0
6.704 0.000 0.000
0.000 6.704 0.000
0.000 0.000 4.418
Cr Cd Ge
2 4 4
Direct
0.000 0.000 0.000
0.500 0.500 0.000
0.183 0.317 0.500
0.317 0.817 0.500
0.683 0.183 0.500
0.817 0.683 0.500
0.135 0.635 0.000
0.365 0.135 0.000
0.635 0.865 0.000
0.865 0.365 0.000
```

Computed properties:
As for the density of states at the Fermi level: 0.41 states/eV/atom. As for the total moment: 3.335 μB per formula unit. The energy of formation is 0.257 eV per atom. Its total energy is -3.8805 eV per atom.



2.
VASP calculation (GGA-PBE) on Rb2In3Br8 after structural relaxation.

POSCAR file:
```
Rb2In3Br8
1.0
7.114 -3.803 0.000
7.114 3.803 0.000
-0.794 0.000 8.947
Rb In Br
2 3 8
Direct
0.198 0.198 0.117
0.802 0.802 0.883
0.287 0.713 0.500
0.500 0.500 0.000
0.713 0.287 0.500
0.125 0.125 0.466
0.172 0.670 0.171
0.330 0.828 0.829
0.344 0.344 0.808
0.656 0.656 0.192
0.670 0.172 0.171
0.828 0.330 0.829
0.875 0.875 0.534
```

Computed properties:
As for the density of states at the Fermi level: 0.18 states/eV/atom. As for the total moment: 0.000 μB per formula unit. Its uncorrected formation energy is -1.05 eV/atom. Its total energy is -2.8591 eV per atom.



3.
VASP calculation (GGA-PBE) on Pm2ScGa2 after structural relaxation.

POSCAR file:
```
Pm2ScGa2
1.0
5.901 -2.245 0.000
5.901 2.245 0.000
-5.436 0.000 9.601
Pm Sc Ga
4 2 4
Direct
0.020 0.020 0.185
0.188 0.188 0.605
0.812 0.812 0.395
0.980 0.980 0.815
0.286 0.286 0.129
0.714 0.714 0.871
0.372 0.372 0.930
0.476 0.476 0.604
0.524 0.524 0.396
0.628 0.628 0.070
```

Computed properties:
As for the energy above the most stable polymorph in this dataset: 0.0000 eV/atom. As for the density of states at the Fermi level: 0.91 states/eV/atom. As for the total moment: 0.000 μB per formula unit. The energy of formation is -0.498 eV per atom. Its total energy is -4.8751 eV per atom.



4.
VASP calculation (GGA-PBE) on LaGdPuIn after structural relaxation.

POSCAR file:
```
LaGdPuIn
1.0
0.000 3.891 3.891
3.891 0.000 3.891
3.891 3.891 0.000
La Gd Pu In
1 1 1 1
Direct
0.000 0.000 0.000
0.500 0.500 0.500
0.750 0.750 0.750
0.250 0.250 0.250
```

Computed properties:
As for the density of states at the Fermi level: 3.83 states/eV/atom. As for the total moment: 0.907 μB per formula unit. The energy of formation is -0.083 eV per atom. Its total energy is -9.1027 eV per atom.



5.
VASP calculation (GGA-PBE) on BePdS after structural relaxation.

POSCAR file:
```
BePdS
1.0
3.401 0.000 0.000
-0.010 4.601 0.000
-0.013 -1.109 5.740
Be Pd S
2 2 2
Direct
0.000 0.000 0.000
0.500 0.112 0.531
0.498 0.692 0.756
0.995 0.430 0.385
0.001 0.919 0.344
0.500 0.216 0.907
```

Computed properties:
As for the density of states at the Fermi level: 0.00 states/eV/atom. As for the total moment: 0.000 μB per formula unit. Its uncorrected formation energy is -0.46 eV/atom. Its total energy is -4.8133 eV per atom.



6.
VASP calculation (GGA-PBE) on Ce2PmAl2Zn2 after structural relaxation.

POSCAR file:
```
Ce2PmAl2Zn2
1.0
2.196 1.268 9.232
-2.196 1.268 9.232
0.000 -2.536 9.232
Ce Pm Al Zn
2 1 2 2
Direct
0.142 0.142 0.142
0.858 0.858 0.858
0.000 0.000 0.000
0.261 0.261 0.261
0.739 0.739 0.739
0.405 0.405 0.405
0.595 0.595 0.595
```

Computed properties:
As for the density of states at the Fermi level: 1.28 states/eV/atom. As for the total moment: 1.210 μB per formula unit. The energy of formation is -0.345 eV per atom. Its total energy is -4.1521 eV per atom.



7.
VASP calculation (GGA-PBE) on YGe2BCl after structural relaxation.

POSCAR file:
```
YGe2BCl
1.0
4.227 0.000 0.000
0.000 4.227 0.000
0.000 0.000 5.429
Y Ge B Cl
1 2 1 1
Direct
0.000 0.000 0.000
0.000 0.500 0.500
0.500 0.000 0.500
0.000 0.000 0.500
0.500 0.500 0.000
```

Computed properties:
As for the density of states at the Fermi level: 0.56 states/eV/atom. As for the total moment: 0.000 μB per formula unit. Its uncorrected formation energy is -0.15 eV/atom. Its total energy is -4.9927 eV per atom.



8.
VASP calculation (GGA-PBE) on TlSi2Pb2 after structural relaxation.

POSCAR file:
```
TlSi2Pb2
1.0
-1.750 1.750 10.476
1.750 -1.750 10.476
1.750 1.750 -10.476
Tl Si Pb
1 2 2
Direct
0.000 0.000 0.000
0.250 0.750 0.500
0.750 0.250 0.500
0.377 0.377 0.000
0.623 0.623 0.000
```

Computed properties:
As for the energy above the most stable polymorph in this dataset: 0.0000 eV/atom. As for the density of states at the Fermi level: 0.52 states/eV/atom. As for the total moment: 0.000 μB per formula unit. Its uncorrected formation energy is 0.23 eV/atom. Its total energy is -3.8978 eV per atom.



9.
VASP calculation (GGA-PBE) on CsAsW2 after structural relaxation.

POSCAR file:
```
CsAsW2
1.0
-2.341 2.341 9.021
2.341 -2.341 9.021
2.341 2.341 -9.021
Cs As W
2 2 4
Direct
0.000 0.000 0.000
0.750 0.250 0.500
0.250 0.750 0.500
0.500 0.500 0.000
0.248 0.125 0.623
0.375 0.752 0.877
0.502 0.625 0.377
0.875 0.498 0.123
```

Computed properties:
As for the density of states at the Fermi level: 0.66 states/eV/atom. As for the total moment: 0.000 μB per formula unit. The energy of formation is 1.514 eV per atom. Its total energy is -6.3384 eV per atom.



10.
VASP calculation (GGA-PBE) on Be2TlP after structural relaxation.

POSCAR file:
```
Be2TlP
1.0
3.067 -1.772 0.000
3.067 1.772 0.000
-2.415 0.000 6.425
Be Tl P
2 1 1
Direct
0.000 0.000 0.000
0.706 0.706 0.101
0.203 0.203 0.677
0.415 0.415 0.207
```

Computed properties:
As for the energy above the most stable polymorph in this dataset: 0.0093 eV/atom. As for the density of states at the Fermi level: 0.16 states/eV/atom. As for the total moment: 0.000 μB per formula unit. The energy of formation is 0.194 eV per atom. Its total energy is -3.6134 eV per atom.



11.
VASP calculation (GGA-PBE) on CaPuSnGe after structural relaxation.

POSCAR file:
```
CaPuSnGe
1.0
0.000 3.724 3.724
3.724 0.000 3.724
3.724 3.724 0.000
Ca Pu Sn Ge
1 1 1 1
Direct
0.000 0.000 0.000
0.500 0.500 0.500
0.750 0.750 0.750
0.250 0.250 0.250
```

Computed properties:
As for the density of states at the Fermi level: 2.77 states/eV/atom. As for the total moment: 5.582 μB per formula unit. The energy of formation is -0.367 eV per atom. Its total energy is -6.6052 eV per atom.



12.
VASP calculation (GGA-PBE) on ZrInBr2 after structural relaxation.

POSCAR file:
```
ZrInBr2
1.0
-2.336 2.336 4.436
2.336 -2.336 4.436
2.336 2.336 -4.436
Zr In Br
1 1 2
Direct
0.000 0.000 0.000
0.500 0.500 0.000
0.250 0.750 0.500
0.750 0.250 0.500
```

Computed properties:
As for the energy above the most stable polymorph in this dataset: 0.6085 eV/atom. As for the density of states at the Fermi level: 0.54 states/eV/atom. As for the total moment: 0.000 μB per formula unit. Its uncorrected formation energy is -0.15 eV/atom. Its total energy is -3.8105 eV per atom.



13.
VASP calculation (GGA-PBE) on Ac3Al2Si4 after structural relaxation.

POSCAR file:
```
Ac3Al2Si4
1.0
6.007 -2.140 0.000
6.007 2.140 0.000
-3.051 0.000 8.493
Ac Al Si
3 2 4
Direct
0.000 0.000 0.000
0.386 0.386 0.311
0.614 0.614 0.689
0.319 0.319 0.678
0.681 0.681 0.322
0.113 0.113 0.403
0.272 0.272 0.945
0.728 0.728 0.055
0.887 0.887 0.597
```

Computed properties:
As for the energy above the most stable polymorph in this dataset: 0.0643 eV/atom. As for the density of states at the Fermi level: 0.48 states/eV/atom. As for the total moment: 0.000 μB per formula unit. Its uncorrected formation energy is -0.49 eV/atom. Its total energy is -5.0967 eV per atom.



14.
VASP calculation (GGA-PBE) on Dy2CdNi after structural relaxation.

POSCAR file:
```
Dy2CdNi
1.0
1.661 0.959 10.326
-1.661 0.959 10.326
0.000 -1.918 10.326
Dy Cd Ni
2 1 1
Direct
0.081 0.081 0.081
0.919 0.919 0.919
0.500 0.500 0.500
0.000 0.000 0.000
```

Computed properties:
As for the energy above the most stable polymorph in this dataset: 0.6965 eV/atom. As for the density of states at the Fermi level: 0.88 states/eV/atom. As for the total moment: 0.000 μB per formula unit. The energy of formation is 0.328 eV per atom. Its total energy is -3.6470 eV per atom.



15.
VASP calculation (GGA-PBE) on Er2AlHg after structural relaxation.

POSCAR file:
```
Er2AlHg
1.0
3.589 0.000 0.000
0.000 3.589 0.000
0.000 0.000 7.455
Er Al Hg
2 1 1
Direct
0.000 0.000 0.240
0.000 0.000 0.760
0.500 0.500 0.000
0.500 0.500 0.500
```

Computed properties:
As for the energy above the most stable polymorph in this dataset: 0.0000 eV/atom. As for the density of states at the Fermi level: 0.69 states/eV/atom. As for the total moment: 0.000 μB per formula unit. The energy of formation is -0.429 eV per atom. Its total energy is -3.7215 eV per atom.



16.
VASP calculation (GGA-PBE) on BaFe2Cl after structural relaxation.

POSCAR file:
```
BaFe2Cl
1.0
2.794 -2.798 0.000
2.794 2.798 0.000
0.000 0.000 6.512
Ba Fe Cl
1 2 1
Direct
0.000 0.000 0.000
0.500 0.500 0.331
0.500 0.500 0.669
0.000 0.000 0.500
```

Computed properties:
As for the energy above the most stable polymorph in this dataset: 0.6320 eV/atom. As for the density of states at the Fermi level: 1.12 states/eV/atom. As for the total moment: 6.867 μB per formula unit. Its uncorrected formation energy is 0.61 eV/atom. Its total energy is -4.5663 eV per atom.



17.
VASP calculation (GGA-PBE) on Li3AsPd after structural relaxation.

POSCAR file:
```
Li3AsPd
1.0
4.566 0.000 0.000
0.000 4.566 0.000
0.000 0.000 4.566
Li As Pd
3 1 1
Direct
0.000 0.000 0.500
0.000 0.500 0.000
0.500 0.000 0.000
0.500 0.500 0.500
0.000 0.000 0.000
```

Computed properties:
As for the energy above the most stable polymorph in this dataset: 0.6185 eV/atom. As for the density of states at the Fermi level: 0.69 states/eV/atom. As for the total moment: 0.000 μB per formula unit. The energy of formation is 0.061 eV per atom. Its total energy is -3.0562 eV per atom.



18.
VASP calculation (GGA-PBE) on FeBPAuC2 after structural relaxation.

POSCAR file:
```
FeBPAuC2
1.0
2.763 0.000 0.000
-0.002 4.749 0.000
-1.365 -1.196 4.953
Fe B P Au C
1 1 1 1 2
Direct
0.000 0.000 0.000
0.621 0.604 0.242
0.322 0.969 0.643
0.834 0.429 0.678
0.144 0.776 0.289
0.572 0.269 0.146
```

Computed properties:
As for the energy above the most stable polymorph in this dataset: 0.1516 eV/atom. As for the density of states at the Fermi level: 0.27 states/eV/atom. As for the total moment: 0.001 μB per formula unit. The energy of formation is 0.463 eV per atom. Its total energy is -6.5827 eV per atom.



19.
VASP calculation (GGA-PBE) on La6Ga2Ru after structural relaxation.

POSCAR file:
```
La6Ga2Ru
1.0
7.223 0.000 0.000
0.000 7.742 0.000
-6.917 0.000 10.418
La Ga Ru
12 4 2
Direct
0.134 0.186 0.447
0.134 0.314 0.947
0.269 0.683 0.449
0.269 0.817 0.949
0.361 0.027 0.245
0.361 0.473 0.745
0.639 0.527 0.255
0.639 0.973 0.755
0.731 0.183 0.051
0.731 0.317 0.551
0.866 0.686 0.053
0.866 0.814 0.553
0.212 0.090 0.745
0.212 0.410 0.245
0.788 0.590 0.755
0.788 0.910 0.255
0.500 0.000 0.500
0.500 0.500 0.000
```

Computed properties:
As for the density of states at the Fermi level: 1.13 states/eV/atom. As for the total moment: 0.003 μB per formula unit. The energy of formation is -0.313 eV per atom. Its total energy is -5.3017 eV per atom.



20.
VASP calculation (GGA-PBE) on CeNi6C after structural relaxation.

POSCAR file:
```
CeNi6C
1.0
2.558 1.477 4.550
-2.558 1.477 4.550
0.000 -2.953 4.550
Ce Ni C
1 6 1
Direct
0.000 0.000 0.000
0.076 0.596 0.596
0.404 0.404 0.924
0.404 0.924 0.404
0.596 0.076 0.596
0.596 0.596 0.076
0.924 0.404 0.404
0.500 0.500 0.500
```

Computed properties:
As for the density of states at the Fermi level: 0.46 states/eV/atom. As for the total moment: 0.000 μB per formula unit. The energy of formation is -0.092 eV per atom. Its total energy is -6.3223 eV per atom.